{"formula": "Y4Lu2Au3N3", "functional": "GGA-PBE", "state": "relaxed", "cell": [[5.252, -3.031, 0.000], [5.252, 3.031, 0.000], [-3.516, 0.000, 14.390]], "species": ["Y", "Y", "Y", "Y", "Y", "Y", "Y", "Y", "Lu", "Lu", "Lu", "Lu", "Au", "Au", "Au", "Au", "Au", "Au", "N", "N", "N", "N", "N", "N"], "frac_coords": [[0.037, 0.196, 0.099], [0.130, 0.300, 0.401], [0.196, 0.037, 0.599], [0.300, 0.130, 0.901], [0.700, 0.870, 0.099], [0.804, 0.963, 0.401], [0.870, 0.700, 0.599], [0.963, 0.804, 0.901], [0.358, 0.529, 0.085], [0.471, 0.642, 0.415], [0.529, 0.358, 0.585], [0.642, 0.471, 0.915], [0.121, 0.879, 0.250], [0.287, 0.416, 0.751], [0.416, 0.287, 0.251], [0.584, 0.713, 0.749], [0.713, 0.584, 0.249], [0.879, 0.121, 0.750], [0.000, 0.500, 0.000], [0.174, 0.663, 0.500], [0.337, 0.826, 0.000], [0.500, 0.000, 0.500], [0.663, 0.174, 0.000], [0.826, 0.337, 0.500]], "energy_ev_per_fu": -83.28, "magnetic_moment_mub_per_cell": 0.024, "crystal_system": "monoclinic", "sg": "No. 15"}